First-principles (PBE+U) data for CoSbPtO2 after structural relaxation, as listed in the Alexandria database.

Values from the calculation:
total magnetic moment	3.0	μB per formula unit
space group	P4/mmm (123)
calculated total energy	-23.89	eV/cell
crystal system	tetragonal

Cell lengths 3.815, 6.685, 3.815 Å; angles 90.00, 90.00, 90.00 degrees
Sites, in units of the cell vectors:
Sb  0.000  0.000  0.000
Co  0.000  0.500  0.000
O  0.000  0.000  0.500
O  0.500  0.000  0.000
Pt  0.500  0.500  0.500